The following is a DFT calculation (PBE) of a geometry-optimized Te6Mo3WS2 structure.

POSCAR file:
```
Te6Mo3WS2
1.0
-2.2196 2.6427 0.2254
-1.1752 -3.2526 0.0281
2.9247 -0.7334 37.4069
Te Mo W S
6 3 1 2
direct
0.6667 0.3333 0.3345 Te
0.6667 0.3333 0.7120 Te
0.0000 0.0000 0.0328 Te
0.0000 0.0000 0.1313 Te
0.6667 0.3333 0.2359 Te
0.6667 0.3333 0.6130 Te
0.6667 0.3333 0.0820 Mo
0.6667 0.3333 0.4732 Mo
0.0000 0.0000 0.2852 Mo
0.0000 0.0000 0.6625 W
0.0000 0.0000 0.4337 S
0.0000 0.0000 0.5128 S
```

Output
The crystal system is trigonal. The calculation puts the calculated density at 5.56 g cm⁻³. The raw formation energy is -319.9 meV/atom. The space-group type is P3m1. For the total energy, the calculation gives -6.366 eV/atom. As for the calculated volume: 32.40 Å³/atom. Its energy above the most stable polymorph in this dataset is 33 meV/atom.